Entry 1:
A plane-wave DFT calculation with PBE was carried out for a geometry-optimized UAlCo structure.

- E_form (kJ/mol of formula units) = -49.5

Lattice parameters (Å, degrees): 4.6710 7.3553 5.8393 90.00 90.00 90.00
Space group Cmcm (No. 63)
One atom of each set of equivalent atoms:
1 U 0.0000 0.0000 0.0000
2 Al 0.0000 0.3495 0.2500
3 Co 0.0000 0.3016 0.7500



Entry 2:
A plane-wave DFT calculation with PBE was carried out for a geometry-optimized Nb3RhS4 structure.

- ΔE_f (raw) (eV/atom) = -0.71

Lattice parameters (Å, degrees): 6.6178 6.7953 6.3956 90.00 90.00 90.00
Space group Pmn2_1 (No. 31)
One atom of each set of equivalent atoms:
1 Nb 0.0000 0.2241 0.0000
2 Nb 0.2445 0.6216 0.8698
3 Rh 0.0000 0.7674 0.5001
4 S 0.0000 0.1094 0.3563
5 S 0.0000 0.8848 0.8452
6 S 0.2487 0.7061 0.2439



Entry 3:
A plane-wave DFT calculation with PBE was carried out for a geometry-optimized CaPmBO4 structure.

- ΔE_f (raw) (eV/atom) = -2.92

Lattice parameters (Å, degrees): 5.4135 8.8952 6.9813 90.00 90.00 90.00
Space group Cmcm (No. 63)
One atom of each set of equivalent atoms:
1 Ca 0.0000 0.0000 0.0000
2 Pm 0.0000 0.3202 0.2500
3 B 0.0000 0.3470 0.7500
4 O 0.0000 0.2500 0.5784
5 O 0.2236 0.4509 0.7500



Volume: 16.7, 18.0, 12.0 (Å³/atom)